# 1
# Er3ScZn4 PBE-GGA relaxed
data_Er3ScZn4
_chemical_formula_sum 'Er9 Sc3 Zn12'
_space_group_name_H-M_alt 'R -3 m'
_space_group_IT_number 166
_space_group_name_Hall '-R 3 2"'
_cell_length_a 4.9410
_cell_length_b 4.9410
_cell_length_c 24.2094
_cell_angle_alpha 90.00
_cell_angle_beta 90.00
_cell_angle_gamma 120.00
loop_
_atom_site_label
_atom_site_type_symbol
_atom_site_fract_x
_atom_site_fract_y
_atom_site_fract_z
Er1 Er 0.0000 0.0000 0.0000
Er2 Er 0.0000 0.0000 0.2484
Sc1 Sc 0.0000 0.0000 0.5000
Zn1 Zn 0.0000 0.0000 0.1262
Zn2 Zn 0.0000 0.0000 0.3768
# energy	-3.489	eV per atom
# calculated formation energy	-8.1	kcal/mol of atoms
# calculated volume	170.62	Å³/f.u.


# 2
# CoOs3N PBE-GGA relaxed
data_CoOs3N
_chemical_formula_sum 'Co1 Os3 N1'
_space_group_name_H-M_alt 'P m -3 m'
_space_group_IT_number 221
_space_group_name_Hall '-P 4 2 3'
_cell_length_a 3.987
_cell_length_b 3.987
_cell_length_c 3.987
_cell_angle_alpha 90.00
_cell_angle_beta 90.00
_cell_angle_gamma 90.00
loop_
_atom_site_label
_atom_site_type_symbol
_atom_site_fract_x
_atom_site_fract_y
_atom_site_fract_z
Co1 Co 0.000 0.000 0.000
Os1 Os 0.000 0.500 0.500
N1 N 0.500 0.500 0.500
# energy relative to the elements, uncorrected	0.7408	eV per atom
# excess energy over the best structure of this formula in the dataset	0.000	eV/atom
# energy	-9.083	eV per atom
# calculated volume	63.38	Å³/f.u.